5
Lattice="-3.378 -2.817 -0.981 2.871 -3.472 0.081 -0.944 -0.660 5.144" Properties=species:S:1:pos:R:3 comment="RbMgNiOs2 | Alexandria | SCAN | single point on PBEsol structure" dos_ef_per_ev_fu=5.9 magmom_total_mub_per_cell=0.01 final_energy_ev_per_atom=-35.34 sg=P4/mmm pbc="T T T"
Os 1.436 -1.736 0.041
Ni 0.000 0.000 0.000
Os -1.689 -1.408 -0.491
Mg -0.725 -3.474 2.122
Rb -0.472 -0.330 2.572